A geometry-optimized Na10EuSn12 structure. Source: the Alexandria database, functional PBE.

Properties
Electronic total energy = -3.387 eV/atom
Total magnetization = 0.30 μB/atom

Unit cell a=11.2851 b=11.2851 c=11.2851 alpha=90.00 beta=90.00 gamma=90.00
Space group I-43m (No. 217)
Unique sites:
Na  0.0000  0.2500  0.5000
Na  0.1930  0.1930  0.1930
Eu  0.0000  0.0000  0.0000
Sn  0.0918  0.0918  0.7198

***

A geometry-optimized Cs3K2Rb2Hg4 structure. Source: the Alexandria database, functional PBE.

Properties
Electronic total energy = -0.857 eV/atom
Total magnetization = 0.00 μB/atom

Unit cell a=6.4289 b=6.4289 c=16.6887 alpha=90.00 beta=90.00 gamma=120.00
Space group P-3m1 (No. 164)
Unique sites:
Cs  0.0000  0.0000  0.0000
Cs  0.0000  0.0000  0.2744
K  0.3333  0.6667  0.1259
Rb  0.3333  0.6667  0.5786
Hg  0.3333  0.6667  0.3520
Hg  0.3333  0.6667  0.8756

***

A geometry-optimized Ac8IrRu3Cl4 structure. Source: the Alexandria database, functional PBE.

Properties
Electronic total energy = -5.823 eV/atom
Total magnetization = 0.00 μB/atom
Raw formation energy = -1.014 eV/atom

Unit cell a=8.6012 b=8.6012 c=23.9122 alpha=90.00 beta=90.00 gamma=120.00
Space group R-3m (No. 166, hexagonal axes)
Unique sites:
Ac  0.0000  0.0000  0.2343
Ac  0.0032  0.5016  0.7659
Ir  0.0000  0.0000  0.5000
Ru  0.0000  0.5000  0.5000
Cl  0.0000  0.0000  0.0000
Cl  0.0000  0.5000  0.0000

***

A geometry-optimized CrAsRh2 structure. Source: the Alexandria database, functional PBE.

Properties
Electronic total energy = -7.357 eV/atom
Total magnetization = 0.58 μB/atom

Unit cell a=8.5135 b=2.9058 c=4.7113 alpha=90.00 beta=100.06 gamma=90.00
Space group C2/m (No. 12)
Unique sites:
Cr  0.0000  0.0000  0.0000
As  0.0000  0.5000  0.5000
Rh  0.2452  0.5000  0.2418

***

A geometry-optimized FeRe5 structure. Source: the Alexandria database, functional PBE.

Properties
Electronic total energy = -11.119 eV/atom
Total magnetization = 0.44 μB/atom
Offset from the most stable computed form = 633 meV per atom

Unit cell a=5.0420 b=5.0420 c=4.5837 alpha=90.00 beta=90.00 gamma=120.00
Space group P6/mmm (No. 191)
Unique sites:
Fe  0.0000  0.0000  0.0000
Re  0.0000  0.5000  0.5000
Re  0.3333  0.6667  0.0000

***

A geometry-optimized Li2LaTm2Ge2 structure. Source: the Alexandria database, functional PBE.

Properties
Electronic total energy = -4.343 eV/atom
Total magnetization = 0.00 μB/atom

Unit cell a=4.5357 b=4.5357 c=26.8045 alpha=90.00 beta=90.00 gamma=120.00
Space group R-3m (No. 166, hexagonal axes)
Unique sites:
Li  0.0000  0.0000  0.0879
La  0.0000  0.0000  0.5000
Tm  0.0000  0.0000  0.3702
Ge  0.0000  0.0000  0.2447